Entry 1:
4
Lattice="5.590 0.011 0.035 4.700 3.026 0.035 1.616 0.477 4.379" Properties=species:S:1:pos:R:3 comment="ZnHg2Ru (PBE, optimized geometry)" total_magnetization_mub_per_cell=0.00 density_g_cm3=12.8 formation_enthalpy_0k_ev_per_atom=0.323 total_energy_ev_per_atom=-2.47 pbc="T T T"
Hg 9.091 2.683 3.061
Hg 10.282 3.034 0.243
Zn 2.594 0.766 1.088
Ru 6.183 1.825 2.351

=====

Entry 2:
11
Lattice="5.643 0.000 -1.620 -0.108 6.624 -0.378 -0.070 -0.049 10.397" Properties=species:S:1:pos:R:3 comment="La8Pr2Ag (PBE, optimized geometry)" total_magnetization_mub_per_cell=0.00 density_g_cm3=6.4 formation_enthalpy_0k_ev_per_atom=-0.014 total_energy_ev_per_atom=-4.73 pbc="T T T"
La 0.760 5.256 2.648
La 2.270 2.551 7.907
La 4.705 1.319 5.751
La 3.195 4.024 0.492
La 5.284 4.907 7.766
La 1.793 5.761 6.245
La 0.182 1.668 0.633
La 3.673 0.814 2.154
Pr 4.202 4.416 3.997
Pr 1.264 2.159 4.402
Ag 2.822 0.000 -0.810

=====

Entry 3:
20
Lattice="-2.383 2.518 1.316 -1.925 -5.588 7.207 6.876 3.948 4.898" Properties=species:S:1:pos:R:3 comment="Mg2NiGe2Pt5 (PBE, optimized geometry)" total_magnetization_mub_per_cell=0.00 density_g_cm3=12.7 formation_enthalpy_0k_ev_per_atom=-0.464 total_energy_ev_per_atom=-5.30 pbc="T T T"
Ge 0.210 -1.523 3.296
Ge 0.853 -3.395 8.042
Ge 4.098 1.756 4.063
Ge 4.740 -0.116 8.809
Pt 0.068 0.056 5.242
Pt -2.154 -1.535 4.261
Pt 3.654 0.440 11.003
Pt 0.423 -0.935 7.782
Pt 2.145 1.814 5.639
Pt 2.499 0.823 8.179
Pt 2.246 3.233 3.107
Pt -1.087 0.439 2.417
Pt -1.631 -3.160 8.321
Pt 4.199 4.040 5.100
Mg 1.947 0.359 2.840
Mg 5.075 1.432 6.451
Mg 3.004 -1.998 9.265
Mg -0.124 -3.071 5.654
Ni 0.000 0.000 0.000
Ni 2.475 -0.820 6.052

=====

Entry 4:
6
Lattice="-0.986 2.830 -3.887 2.901 -3.034 -2.945 -7.103 -5.004 -1.840" Properties=species:S:1:pos:R:3 comment="BaCdPb (PBE, optimized geometry)" total_magnetization_mub_per_cell=0.00 density_g_cm3=6.8 formation_enthalpy_0k_ev_per_atom=-0.388 total_energy_ev_per_atom=-2.57 pbc="T T T"
Pb -4.388 -3.868 -6.732
Pb -7.242 -3.339 -5.624
Ba 0.848 -1.941 -3.560
Ba -4.389 -3.092 -3.068
Cd -2.528 -0.018 -4.400
Cd -2.001 -2.186 -6.112

=====

Entry 5:
12
Lattice="-5.468 -0.046 -2.244 1.084 -2.600 5.196 -1.095 4.684 2.572" Properties=species:S:1:pos:R:3 comment="NaTbPa2O8 (PBE, optimized geometry)" e_form_raw_ev_per_atom=-2.4393 total_magnetization_mub_per_cell=2.03 density_g_cm3=7.8 total_energy_ev_per_atom=-7.82 pbc="T T T"
O -0.114 -0.009 2.154
O -3.031 -0.985 2.691
O -5.364 2.047 3.370
O -0.775 -1.595 4.761
O -4.703 3.633 0.763
O -3.759 1.136 1.352
O -1.719 0.903 4.172
O -2.447 3.023 2.833
Pa -3.366 -0.545 0.430
Pa -2.112 2.583 5.094
Tb -0.547 2.342 1.286
Na 0.000 0.000 0.000

=====

Entry 6:
14
Lattice="6.267 -0.971 2.403 1.804 5.153 1.846 -0.118 -0.837 9.067" Properties=species:S:1:pos:R:3 comment="TlMo3S3 (PBE, optimized geometry)" e_form_raw_ev_per_atom=-0.2568 total_magnetization_mub_per_cell=0.00 density_g_cm3=6.2 total_energy_ev_per_atom=-7.01 pbc="T T T"
Tl 5.571 1.818 11.976
Tl 2.382 1.527 1.340
S 1.271 1.620 7.422
S 3.917 3.093 8.858
S 4.824 -0.680 8.419
S 6.681 1.726 5.893
S 3.129 4.025 4.896
S 4.036 0.253 4.457
Mo 5.684 -0.439 6.221
Mo 3.189 0.055 6.667
Mo 5.873 1.456 8.122
Mo 2.269 3.785 7.094
Mo 2.080 1.890 5.194
Mo 4.764 3.290 6.649